[1]
A relaxed structure of Li3TiF6, computed with GGA-PBE.

Output
distance to the lowest polymorph of the same formula = 0 meV/atom

Unit cell a=14.620 b=8.903 c=10.283 alpha=90.00 beta=96.93 gamma=90.00
Space group C2/c (No. 15)
Symmetry-distinct sites (fractional):
Li 0.000 0.197 0.250 x4
Li 0.019 0.348 0.525 x8
Li 0.140 0.155 0.782 x8
Li 0.170 0.303 0.048 x8
Li 0.202 0.143 0.428 x8
Ti 0.000 0.000 0.000 x4
Ti 0.161 0.497 0.292 x8
F 0.073 0.002 0.668 x8
F 0.073 0.169 0.429 x8
F 0.076 0.172 0.940 x8
F 0.080 0.490 0.936 x8
F 0.090 0.336 0.188 x8
F 0.099 0.342 0.689 x8
F 0.231 0.333 0.887 x8
F 0.239 0.346 0.393 x8
F 0.247 0.024 0.844 x8

=====

[2]
A relaxed structure of LiTiF3, computed with GGA-PBE.

Output
distance to the lowest polymorph of the same formula = 0 meV/atom

Unit cell a=4.123 b=4.123 c=4.123 alpha=90.00 beta=90.00 gamma=90.00
Space group Pm-3m (No. 221)
Symmetry-distinct sites (fractional):
Li 0.000 0.000 0.000 x1
Ti 0.500 0.500 0.500 x1
F 0.000 0.500 0.500 x3

=====

[3]
A relaxed structure of LiTiF2, computed with GGA-PBE.

Output
distance to the lowest polymorph of the same formula = 0 meV/atom

Unit cell a=2.9778 b=2.9778 c=18.4486 alpha=90.00 beta=90.00 gamma=120.00
Space group R-3m (No. 166, hexagonal axes)
Symmetry-distinct sites (fractional):
Li 0.0000 0.0000 0.0000 x3
Ti 0.0000 0.0000 0.5000 x3
F 0.0000 0.0000 0.3929 x6

=====

[4]
A relaxed structure of LiTiF2, computed with GGA-PBE.

Output
distance to the lowest polymorph of the same formula = 410 meV/atom

Unit cell a=2.8552 b=2.8552 c=20.5669 alpha=90.00 beta=90.00 gamma=120.00
Space group R-3m (No. 166, hexagonal axes)
Symmetry-distinct sites (fractional):
Li 0.0000 0.0000 0.0000 x3
Ti 0.0000 0.0000 0.5000 x3
F 0.0000 0.0000 0.0937 x6

=====

[5]
A relaxed structure of Li2TiF5, computed with GGA-PBE.

Output
distance to the lowest polymorph of the same formula = 56 meV/atom

Unit cell a=9.136 b=6.341 c=6.166 alpha=90.00 beta=90.00 gamma=90.00
Space group Pnma (No. 62)
Symmetry-distinct sites (fractional):
Li 0.173 0.031 0.049 x8
Ti 0.019 0.250 0.567 x4
F 0.058 0.250 0.893 x4
F 0.068 0.033 0.327 x8
F 0.178 0.750 0.584 x4
F 0.241 0.250 0.577 x4

=====

[6]
A relaxed structure of LiTiF2, computed with GGA-PBE.

Output
distance to the lowest polymorph of the same formula = 789 meV/atom

Unit cell a=5.716 b=5.716 c=5.716 alpha=90.00 beta=90.00 gamma=90.00
Space group Fm-3m (No. 225)
Symmetry-distinct sites (fractional):
Li 0.000 0.000 0.000 x4
Ti 0.000 0.000 0.500 x4
F 0.250 0.250 0.250 x8

=====

Please write out number 6 again, unchanged.
A relaxed structure of LiTiF2, computed with GGA-PBE.

Output
distance to the lowest polymorph of the same formula = 789 meV/atom

Unit cell a=5.716 b=5.716 c=5.716 alpha=90.00 beta=90.00 gamma=90.00
Space group Fm-3m (No. 225)
Symmetry-distinct sites (fractional):
Li 0.000 0.000 0.000 x4
Ti 0.000 0.000 0.500 x4
F 0.250 0.250 0.250 x8

=====

Q: What is the distance to the lowest polymorph of the same formula in the second record?
A: 0 meV/atom